NaNiPt3: relaxed, PBE.

Cell lengths 4.6364, 4.6364, 4.6364 Å; angles 90.00, 90.00, 90.00 degrees
Space group Pm-3m (No. 221)
Inequivalent atoms, fractional coordinates:
Na 0.0000 0.0000 0.0000 [1 per cell]
Ni 0.5000 0.5000 0.5000 [1 per cell]
Pt 0.0000 0.5000 0.5000 [3 per cell]

Properties
Spin magnetization = 0.14 μB per atom
Total energy = -4.429 eV per atom
Energy of formation = 616 meV per atom